Record 1
AgHg2Mo, optimized geometry, DFT PBE; DFT formation energy = 404.4 meV/atom; total magnetization = 0.00 μB per cell; total energy = -3.167 eV per atom
1.0
2.897 0.026 0.000
-0.027 2.897 0.000
0.000 0.000 8.950
Ag Hg Mo
1 2 1
direct
0.500 0.500 0.750
0.000 0.000 0.495
0.000 0.000 0.005
0.500 0.500 0.250

Record 2
AgHgMo3, optimized geometry, DFT PBE; DFT formation energy = 2621.2 meV/atom; total magnetization = 0.00 μB per cell; total energy = -4.508 eV per atom
1.0
-0.069 -2.295 -4.366
0.244 -4.363 2.290
-4.927 -0.184 0.175
Mo Ag Hg
3 1 1
direct
0.000 0.500 0.000
0.000 0.000 0.500
0.500 0.000 0.000
0.500 0.500 0.500
0.000 0.000 0.000

Record 3
AgHg2Mo, optimized geometry, DFT PBE; DFT formation energy = 862.3 meV/atom; total magnetization = 4.95 μB per cell; total energy = -2.709 eV per atom
1.0
4.176 0.000 0.000
0.000 4.176 0.000
2.088 2.088 9.967
Hg Mo Ag
4 2 2
direct
0.375 0.375 0.750
0.875 0.875 0.750
0.125 0.625 0.250
0.625 0.125 0.250
0.250 0.750 0.500
0.500 0.500 0.000
0.750 0.250 0.500
0.000 0.000 0.000

Record 4
AgHg2Mo, optimized geometry, DFT PBE; DFT formation energy = 692.0 meV/atom; total magnetization = 2.56 μB per cell; total energy = -2.879 eV per atom
1.0
-1.763 0.783 4.397
-3.965 -2.293 1.440
0.292 -3.428 3.349
Mo Ag Hg
1 1 2
direct
0.750 0.750 0.750
0.500 0.500 0.500
0.000 0.000 0.000
0.250 0.250 0.250

Please write out number 2 again, unchanged.
AgHgMo3, optimized geometry, DFT PBE; DFT formation energy = 2621.2 meV/atom; total magnetization = 0.00 μB per cell; total energy = -4.508 eV per atom
1.0
-0.069 -2.295 -4.366
0.244 -4.363 2.290
-4.927 -0.184 0.175
Mo Ag Hg
3 1 1
direct
0.000 0.500 0.000
0.000 0.000 0.500
0.500 0.000 0.000
0.500 0.500 0.500
0.000 0.000 0.000

> What is the formula in the second record?

AgHgMo3

> Which value of total magnetization does entry 2 give?

0.00 μB per cell